No. 1
Material: CrIrO2
Method: DFT, PBE with a Hubbard U
State: relaxed

Lattice parameters (Å, degrees): 6.4063 6.4063 6.4063 25.93 25.93 25.93
With the nearest neighbours (Å) after each atom.
Fractional positions:
1 Cr 0.0000 0.0000 0.0000  6 O 1.98
2 Ir 0.5000 0.5000 0.5000  2 O 2.02
3 O 0.3912 0.3912 0.3912  3 Cr 1.98, 1 Ir 2.02
4 O 0.6088 0.6088 0.6088  3 Cr 1.98, 1 Ir 2.02

Computed properties:
Relative energy among the computed polymorphs   0 meV/atom
SG   R-3m (166)

No. 2
Material: CrIr2O
Method: DFT, PBE with a Hubbard U
State: relaxed

Lattice parameters (Å, degrees): 5.7101 5.7101 5.7101 123.20 123.20 84.54
With the nearest neighbours (Å) after each atom.
Fractional positions:
1 Cr 0.0000 0.0000 0.0000  4 Ir 2.30
2 Cr 0.7500 0.2500 0.5000  4 Ir 2.30
3 Ir 0.1555 0.6250 0.0305  2 O 2.09, 2 Cr 2.30
4 Ir 0.3750 0.4055 0.5305  2 O 2.09, 2 Cr 2.30
5 Ir 0.5945 0.1250 0.9695  2 O 2.09, 2 Cr 2.30
6 Ir 0.8750 0.8445 0.4695  2 O 2.09, 2 Cr 2.30
7 O 0.2500 0.7500 0.5000  4 Ir 2.09
8 O 0.5000 0.5000 0.0000  4 Ir 2.09

Computed properties:
SG   I-42d (122)

No. 3
Material: CrIrO2
Method: DFT, PBE with a Hubbard U
State: relaxed

Lattice parameters (Å, degrees): 6.0424 6.0424 6.0424 31.17 31.17 31.17
With the nearest neighbours (Å) after each atom.
Fractional positions:
1 Cr 0.0000 0.0000 0.0000  2 O 1.99
2 Ir 0.5000 0.5000 0.5000  6 O 2.07
3 O 0.1152 0.1152 0.1152  1 Cr 1.99, 3 Ir 2.07
4 O 0.8848 0.8848 0.8848  1 Cr 1.99, 3 Ir 2.07

Computed properties:
Relative energy among the computed polymorphs   648 meV/atom
SG   R-3m (166)

Going through the records in order, we get E values of -7.74, -6.47, -7.09 eV/atom.